Entry 1:
! MgBiMoCl2 (PBE-GGA, relaxed); values from VASP
! Total energy (eV/atom): -3.787
! Raw formation energy (eV per atom): 0.213
&SYSTEM
  ibrav = 0, nat = 5, ntyp = 4
/
ATOMIC_SPECIES
Cl 35.45 Cl.upf
Mg 24.30 Mg.upf
Mo 95.94 Mo.upf
Bi 208.98 Bi.upf
ATOMIC_POSITIONS crystal
Cl 0.500 0.000 0.000
Cl 0.000 0.000 0.500
Mg 0.000 0.500 0.000
Mo 0.000 0.000 0.000
Bi 0.500 0.500 0.500
CELL_PARAMETERS angstrom
-3.610 -1.515 2.451
-2.334 -2.726 -5.121
2.309 -3.871 1.008

=====

Entry 2:
! NaMgBiCl6 (PBE-GGA, relaxed); values from VASP
! Total energy (eV/atom): -3.450
! Raw formation energy (eV per atom): -1.464
&SYSTEM
  ibrav = 0, nat = 18, ntyp = 4
/
ATOMIC_SPECIES
Mg 24.30 Mg.upf
Na 22.99 Na.upf
Cl 35.45 Cl.upf
Bi 208.98 Bi.upf
ATOMIC_POSITIONS crystal
Mg 0.667 0.333 0.750
Mg 0.333 0.667 0.250
Na 0.000 0.000 0.500
Na 0.000 0.000 0.000
Cl 0.633 0.977 0.367
Cl 0.344 0.977 0.133
Cl 0.977 0.344 0.633
Cl 0.977 0.633 0.867
Cl 0.023 0.656 0.367
Cl 0.656 0.023 0.867
Cl 0.344 0.367 0.367
Cl 0.367 0.344 0.867
Cl 0.656 0.633 0.633
Cl 0.367 0.023 0.633
Cl 0.633 0.656 0.133
Cl 0.023 0.367 0.133
Bi 0.333 0.667 0.750
Bi 0.667 0.333 0.250
CELL_PARAMETERS angstrom
-3.676 5.441 -1.669
-0.596 -2.727 6.173
9.175 7.486 4.193

=====

Entry 3:
! NaMg2BiCl8 (PBE-GGA, relaxed); values from VASP
! Total energy (eV/atom): -3.446
! Raw formation energy (eV per atom): -1.516
&SYSTEM
  ibrav = 0, nat = 12, ntyp = 4
/
ATOMIC_SPECIES
Na 22.99 Na.upf
Cl 35.45 Cl.upf
Mg 24.30 Mg.upf
Bi 208.98 Bi.upf
ATOMIC_POSITIONS crystal
Na 0.000 0.000 0.500
Cl 0.185 0.757 0.753
Cl 0.815 0.243 0.247
Cl 0.659 0.713 0.000
Cl 0.340 0.289 0.500
Cl 0.341 0.287 0.000
Cl 0.815 0.243 0.753
Cl 0.185 0.757 0.247
Cl 0.660 0.711 0.500
Mg 0.500 0.500 0.734
Mg 0.500 0.500 0.266
Bi 0.000 0.000 0.000
CELL_PARAMETERS angstrom
6.376 -0.013 -0.005
0.054 6.131 -0.007
0.006 0.009 7.862

=====

Entry 4:
! MgBiPCl2 (PBE-GGA, relaxed); values from VASP
! Total energy (eV/atom): -3.337
! Energy above the most stable polymorph in this dataset (eV per atom): 0.000
! Raw formation energy (eV per atom): -0.421
&SYSTEM
  ibrav = 0, nat = 5, ntyp = 4
/
ATOMIC_SPECIES
Cl 35.45 Cl.upf
P 30.97 P.upf
Mg 24.30 Mg.upf
Bi 208.98 Bi.upf
ATOMIC_POSITIONS crystal
Cl 0.000 0.500 0.000
Cl 0.500 0.000 0.000
P 0.000 0.000 0.500
Mg 0.000 0.000 0.000
Bi 0.500 0.500 0.500
CELL_PARAMETERS angstrom
-2.018 3.497 2.253
-2.450 1.024 -3.784
-4.107 -3.477 1.719